Record 1
The following is a PBE-GGA calculation of NaCaMgNb2 after structural relaxation, from Alexandria via LeMat-Bulk.

Computed properties:
Total moment = 1.11 μB per cell
Formation energy = 1793 meV/atom

a b c (Å): 4.9796 5.1209 4.9796
angles (deg): 90.00 90.00 90.00
Last column: nearest neighbours and their distance in Å.
Fractional positions:
Mg  0.5000  0.5000  0.5000  4 Na 3.52, 8 Nb 3.57
Na  0.0000  0.5000  0.0000  2 Ca 2.56
Nb  0.0000  0.0000  0.5000  2 Ca 2.49
Nb  0.5000  0.0000  0.0000  2 Ca 2.49
Ca  0.0000  0.0000  0.0000  4 Nb 2.49, 2 Na 2.56

=====

Record 2
The following is a PBE-GGA calculation of NaCaNdMg after structural relaxation, from Alexandria via LeMat-Bulk.

Computed properties:
Total moment = 0.00 μB per cell
Formation energy = 86 meV/atom

a b c (Å): 5.6901 5.6901 5.6901
angles (deg): 60.00 60.00 60.00
Last column: nearest neighbours and their distance in Å.
Fractional positions:
Na  0.5000  0.5000  0.5000  4 Nd 3.48, 4 Ca 3.48
Ca  0.2500  0.2500  0.2500  4 Na 3.48, 4 Mg 3.48
Nd  0.7500  0.7500  0.7500  4 Na 3.48, 4 Mg 3.48
Mg  0.0000  0.0000  0.0000  4 Nd 3.48, 4 Ca 3.48

=====

Q: Among the records above, which one has the lowest formation energy?
A: NaCaNdMg

=====

Q: What is the formation energy in the second record?
A: 86 meV/atom

=====

Q: Among the records above, which one has the lowest total moment?
A: NaCaNdMg

=====

Q: What is the formula in the second record?
A: NaCaNdMg